Record 1
{
  "formula": "SiRuSN2",
  "functional": "PBE",
  "state": "optimized geometry",
  "formation_energy_uncorrected_kcal_per_mol_atoms": 17.06,
  "m_tot_mub_per_fu": 1.4,
  "de_polymorph_ev_per_atom": 0.000,
  "lattice": [[3.369, 0.000, 0.000], [0.000, 3.369, 0.000], [0.000, 0.000, 6.895]],
  "species": ["Si", "Ru", "S", "N", "N"],
  "fractional_positions": [[0.000, 0.000, 0.000], [0.500, 0.500, 0.500], [0.000, 0.000, 0.500], [0.000, 0.500, 0.000], [0.500, 0.000, 0.000]]
}

Record 2
{
  "formula": "DyErPa2Rh4",
  "functional": "PBE",
  "state": "optimized geometry",
  "formation_energy_kj_per_mol_atoms": -70.1,
  "m_tot_mub_per_fu": 0.0,
  "lattice": [[0.000, 5.435, 4.153], [3.823, 0.000, 4.153], [3.823, 5.435, 0.000]],
  "species": ["Dy", "Er", "Pa", "Pa", "Rh", "Rh", "Rh", "Rh"],
  "fractional_positions": [[0.000, 0.000, 0.000], [0.584, 0.584, 0.416], [0.228, 0.228, 0.272], [0.728, 0.728, 0.772], [0.090, 0.482, 0.910], [0.234, 0.705, 0.295], [0.482, 0.090, 0.518], [0.705, 0.234, 0.766]]
}

Record 3
{
  "formula": "MnNi7Sn2Pd2",
  "functional": "PBE",
  "state": "optimized geometry",
  "formation_energy_kj_per_mol_atoms": -4.0,
  "m_tot_mub_per_fu": 5.8,
  "lattice": [[2.430, -2.430, 0.000], [2.430, 2.430, 0.000], [-2.409, 0.000, 14.242]],
  "species": ["Mn", "Ni", "Ni", "Ni", "Ni", "Ni", "Ni", "Ni", "Sn", "Sn", "Pd", "Pd"],
  "fractional_positions": [[0.000, 0.000, 0.000], [0.063, 0.563, 0.127], [0.271, 0.271, 0.542], [0.437, 0.937, 0.873], [0.500, 0.500, 0.000], [0.563, 0.063, 0.127], [0.729, 0.729, 0.458], [0.937, 0.437, 0.873], [0.180, 0.180, 0.364], [0.820, 0.820, 0.636], [0.368, 0.368, 0.733], [0.632, 0.632, 0.267]]
}